[1]
# KZrSc4 (PBEsol, relaxed)
data_KZrSc4
_chemical_formula_sum 'K1 Zr1 Sc4'
_cell_length_a 6.110
_cell_length_b 6.110
_cell_length_c 6.110
_cell_angle_alpha 60.00
_cell_angle_beta 60.00
_cell_angle_gamma 60.00
_symmetry_space_group_name_H-M 'P 1'
_symmetry_Int_Tables_number 1
loop_
_symmetry_equiv_pos_as_xyz
'x,y,z'
loop_
_atom_site_label
_atom_site_type_symbol
_atom_site_fract_x
_atom_site_fract_y
_atom_site_fract_z
K1 K 0.000 0.000 0.000
Sc1 Sc 0.380 0.380 0.380
Sc2 Sc 0.380 0.380 0.859
Sc3 Sc 0.859 0.380 0.380
Sc4 Sc 0.380 0.859 0.380
Zr1 Zr 0.750 0.750 0.750
# - Formation energy from the elements: 0.65 eV/atom



[2]
# BeCoRe2 (PBEsol, relaxed)
data_BeCoRe2
_chemical_formula_sum 'Be1 Co1 Re2'
_cell_length_a 4.121
_cell_length_b 4.121
_cell_length_c 4.121
_cell_angle_alpha 60.00
_cell_angle_beta 60.00
_cell_angle_gamma 60.00
_symmetry_space_group_name_H-M 'P 1'
_symmetry_Int_Tables_number 1
loop_
_symmetry_equiv_pos_as_xyz
'x,y,z'
loop_
_atom_site_label
_atom_site_type_symbol
_atom_site_fract_x
_atom_site_fract_y
_atom_site_fract_z
Re1 Re 0.000 0.000 0.000
Re2 Re 0.750 0.750 0.750
Co1 Co 0.250 0.250 0.250
Be1 Be 0.500 0.500 0.500
# - Formation energy from the elements: 0.10 eV/atom



[3]
# Zr2CdHg (PBEsol, relaxed)
data_Zr2CdHg
_chemical_formula_sum 'Zr2 Cd1 Hg1'
_cell_length_a 3.045
_cell_length_b 5.073
_cell_length_c 5.298
_cell_angle_alpha 90.00
_cell_angle_beta 90.00
_cell_angle_gamma 90.00
_symmetry_space_group_name_H-M 'P 1'
_symmetry_Int_Tables_number 1
loop_
_symmetry_equiv_pos_as_xyz
'x,y,z'
loop_
_atom_site_label
_atom_site_type_symbol
_atom_site_fract_x
_atom_site_fract_y
_atom_site_fract_z
Hg1 Hg 0.500 0.500 0.201
Zr1 Zr 0.000 0.000 0.053
Zr2 Zr 0.000 0.500 0.693
Cd1 Cd 0.500 0.000 0.553
# - Formation energy from the elements: -0.19 eV/atom
# - Polymorph energy (0 for the lowest one): 39 meV/atom



[4]
# KSiTe2 (PBEsol, relaxed)
data_KSiTe2
_chemical_formula_sum 'K1 Si1 Te2'
_cell_length_a 3.703
_cell_length_b 6.291
_cell_length_c 6.291
_cell_angle_alpha 60.52
_cell_angle_beta 72.88
_cell_angle_gamma 72.88
_symmetry_space_group_name_H-M 'P 1'
_symmetry_Int_Tables_number 1
loop_
_symmetry_equiv_pos_as_xyz
'x,y,z'
loop_
_atom_site_label
_atom_site_type_symbol
_atom_site_fract_x
_atom_site_fract_y
_atom_site_fract_z
K1 K 0.500 0.000 0.000
Si1 Si 0.000 0.500 0.500
Te1 Te 0.317 0.683 0.683
Te2 Te 0.683 0.317 0.317
# - Formation energy from raw total energies: -0.15 eV per atom



[5]
# ZnAsIr2 (PBEsol, relaxed)
data_ZnAsIr2
_chemical_formula_sum 'Zn1 As1 Ir2'
_cell_length_a 2.713
_cell_length_b 2.736
_cell_length_c 9.685
_cell_angle_alpha 90.00
_cell_angle_beta 90.00
_cell_angle_gamma 119.73
_symmetry_space_group_name_H-M 'P 1'
_symmetry_Int_Tables_number 1
loop_
_symmetry_equiv_pos_as_xyz
'x,y,z'
loop_
_atom_site_label
_atom_site_type_symbol
_atom_site_fract_x
_atom_site_fract_y
_atom_site_fract_z
As1 As 0.500 0.000 0.779
Ir1 Ir 0.000 0.000 0.005
Ir2 Ir 0.500 0.000 0.244
Zn1 Zn 0.000 0.000 0.472
# - Formation energy from the elements: 0.25 eV/atom
# - Polymorph energy (0 for the lowest one): 275 meV/atom



[6]
# ZnRh5 (PBEsol, relaxed)
data_ZnRh5
_chemical_formula_sum 'Zn1 Rh5'
_cell_length_a 2.687
_cell_length_b 2.687
_cell_length_c 11.098
_cell_angle_alpha 90.00
_cell_angle_beta 90.00
_cell_angle_gamma 90.00
_symmetry_space_group_name_H-M 'P 1'
_symmetry_Int_Tables_number 1
loop_
_symmetry_equiv_pos_as_xyz
'x,y,z'
loop_
_atom_site_label
_atom_site_type_symbol
_atom_site_fract_x
_atom_site_fract_y
_atom_site_fract_z
Zn1 Zn 0.500 0.500 0.000
Rh1 Rh 0.000 0.000 0.835
Rh2 Rh 0.000 0.000 0.165
Rh3 Rh 0.500 0.500 0.669
Rh4 Rh 0.500 0.500 0.331
Rh5 Rh 0.000 0.000 0.500
# - Formation energy from the elements: -0.08 eV/atom



[7]
# Cs2ZnBi2S5 (PBEsol, relaxed)
data_Cs2ZnBi2S5
_chemical_formula_sum 'Cs8 Zn4 Bi8 S20'
_cell_length_a 4.077
_cell_length_b 15.721
_cell_length_c 18.029
_cell_angle_alpha 90.00
_cell_angle_beta 90.00
_cell_angle_gamma 90.00
_symmetry_space_group_name_H-M 'P 1'
_symmetry_Int_Tables_number 1
loop_
_symmetry_equiv_pos_as_xyz
'x,y,z'
loop_
_atom_site_label
_atom_site_type_symbol
_atom_site_fract_x
_atom_site_fract_y
_atom_site_fract_z
Cs1 Cs 0.750 0.495 0.122
Cs2 Cs 0.750 0.995 0.378
Cs3 Cs 0.250 0.505 0.878
Cs4 Cs 0.250 0.005 0.622
Cs5 Cs 0.750 0.039 0.881
Cs6 Cs 0.750 0.539 0.619
Cs7 Cs 0.250 0.961 0.119
Cs8 Cs 0.250 0.461 0.381
Zn1 Zn 0.750 0.295 0.856
Zn2 Zn 0.750 0.795 0.644
Zn3 Zn 0.250 0.705 0.144
Zn4 Zn 0.250 0.205 0.356
Bi1 Bi 0.750 0.249 0.516
Bi2 Bi 0.750 0.749 0.984
Bi3 Bi 0.250 0.751 0.484
Bi4 Bi 0.250 0.251 0.016
Bi5 Bi 0.750 0.210 0.199
Bi6 Bi 0.750 0.710 0.301
Bi7 Bi 0.250 0.790 0.801
Bi8 Bi 0.250 0.290 0.699
S1 S 0.750 0.393 0.757
S2 S 0.750 0.893 0.743
S3 S 0.250 0.607 0.243
S4 S 0.250 0.107 0.257
S5 S 0.750 0.361 0.972
S6 S 0.750 0.861 0.528
S7 S 0.250 0.639 0.028
S8 S 0.250 0.139 0.472
S9 S 0.750 0.286 0.347
S10 S 0.750 0.786 0.153
S11 S 0.250 0.714 0.653
S12 S 0.250 0.214 0.847
S13 S 0.750 0.179 0.650
S14 S 0.750 0.679 0.850
S15 S 0.250 0.821 0.350
S16 S 0.250 0.321 0.150
S17 S 0.750 0.133 0.062
S18 S 0.750 0.633 0.438
S19 S 0.250 0.867 0.938
S20 S 0.250 0.367 0.562
# - Formation energy from raw total energies: -0.82 eV per atom



[8]
# NdNi3 (PBEsol, relaxed)
data_NdNi3
_chemical_formula_sum 'Nd1 Ni3'
_cell_length_a 4.013
_cell_length_b 4.013
_cell_length_c 5.151
_cell_angle_alpha 67.08
_cell_angle_beta 67.08
_cell_angle_gamma 60.00
_symmetry_space_group_name_H-M 'P 1'
_symmetry_Int_Tables_number 1
loop_
_symmetry_equiv_pos_as_xyz
'x,y,z'
loop_
_atom_site_label
_atom_site_type_symbol
_atom_site_fract_x
_atom_site_fract_y
_atom_site_fract_z
Ni1 Ni 0.695 0.695 0.914
Ni2 Ni 0.305 0.305 0.086
Ni3 Ni 0.000 0.000 0.000
Nd1 Nd 0.500 0.500 0.500
# - Formation energy from the elements: -0.24 eV/atom



[9]
# In2ReTe (PBEsol, relaxed)
data_In2ReTe
_chemical_formula_sum 'In2 Re1 Te1'
_cell_length_a 3.207
_cell_length_b 3.207
_cell_length_c 8.567
_cell_angle_alpha 90.00
_cell_angle_beta 90.00
_cell_angle_gamma 90.00
_symmetry_space_group_name_H-M 'P 1'
_symmetry_Int_Tables_number 1
loop_
_symmetry_equiv_pos_as_xyz
'x,y,z'
loop_
_atom_site_label
_atom_site_type_symbol
_atom_site_fract_x
_atom_site_fract_y
_atom_site_fract_z
In1 In 0.000 0.000 0.017
In2 In 0.500 0.500 0.293
Re1 Re 0.000 0.000 0.509
Te1 Te 0.500 0.500 0.681
# - Formation energy from raw total energies: 0.28 eV per atom



[10]
# Mg2InAg (PBEsol, relaxed)
data_Mg2InAg
_chemical_formula_sum 'Mg2 In1 Ag1'
_cell_length_a 3.257
_cell_length_b 4.069
_cell_length_c 6.114
_cell_angle_alpha 90.00
_cell_angle_beta 90.00
_cell_angle_gamma 90.00
_symmetry_space_group_name_H-M 'P 1'
_symmetry_Int_Tables_number 1
loop_
_symmetry_equiv_pos_as_xyz
'x,y,z'
loop_
_atom_site_label
_atom_site_type_symbol
_atom_site_fract_x
_atom_site_fract_y
_atom_site_fract_z
Mg1 Mg 0.000 0.000 0.998
Mg2 Mg 0.500 0.500 0.270
Ag1 Ag 0.000 0.000 0.484
In1 In 0.500 0.500 0.749
# - Formation energy from the elements: -0.10 eV/atom



[11]
# ZrIrW2 (PBEsol, relaxed)
data_ZrIrW2
_chemical_formula_sum 'Zr1 Ir1 W2'
_cell_length_a 3.341
_cell_length_b 4.335
_cell_length_c 5.302
_cell_angle_alpha 114.13
_cell_angle_beta 108.37
_cell_angle_gamma 90.00
_symmetry_space_group_name_H-M 'P 1'
_symmetry_Int_Tables_number 1
loop_
_symmetry_equiv_pos_as_xyz
'x,y,z'
loop_
_atom_site_label
_atom_site_type_symbol
_atom_site_fract_x
_atom_site_fract_y
_atom_site_fract_z
Ir1 Ir 0.000 0.500 0.000
W1 W 0.751 0.751 0.503
W2 W 0.249 0.249 0.497
Zr1 Zr 0.500 0.000 0.000
# - Formation energy from the elements: -0.07 eV/atom
# - Polymorph energy (0 for the lowest one): 0 meV/atom



[12]
# NaMg3Tl (PBEsol, relaxed)
data_NaMg3Tl
_chemical_formula_sum 'Na1 Mg3 Tl1'
_cell_length_a 5.357
_cell_length_b 5.357
_cell_length_c 5.357
_cell_angle_alpha 90.00
_cell_angle_beta 90.00
_cell_angle_gamma 90.00
_symmetry_space_group_name_H-M 'P 1'
_symmetry_Int_Tables_number 1
loop_
_symmetry_equiv_pos_as_xyz
'x,y,z'
loop_
_atom_site_label
_atom_site_type_symbol
_atom_site_fract_x
_atom_site_fract_y
_atom_site_fract_z
Na1 Na 0.000 0.000 0.000
Tl1 Tl 0.500 0.500 0.500
Mg1 Mg 0.000 0.500 0.000
Mg2 Mg 0.000 0.000 0.500
Mg3 Mg 0.500 0.000 0.000
# - Formation energy from the elements: 0.61 eV/atom